1.
## MnH2Ru (PBE)

Data for a relaxed structure of MnH2Ru.

Cell: 5.141 5.141 5.141 Å, 90.00 90.00 90.00°
Space group Fm-3m (No. 225)
One atom of each set of equivalent atoms:
Mn1 0.000 0.000 0.000 [4 per cell]
H1 0.250 0.250 0.250 [8 per cell]
Ru1 0.000 0.000 0.500 [4 per cell]

Calculated values
As for the offset from the most stable computed form: 456 meV per atom. As for the density of states at the Fermi level: 2.2 states/eV/f.u. The calculation puts the magnetic moment at 14.56 Bohr magnetons per cell.

***

2.
## MnSbHRu2 (PBE)

Data for a relaxed structure of MnSbHRu2.

Cell: 4.106 4.106 3.745 Å, 90.00 90.00 90.00°
Space group P4/mmm (No. 123)
One atom of each set of equivalent atoms:
Mn1 0.000 0.000 0.000 [1 per cell]
Sb1 0.500 0.500 0.000 [1 per cell]
H1 0.000 0.000 0.500 [1 per cell]
Ru1 0.000 0.500 0.500 [2 per cell]

Calculated values
As for the density of states at the Fermi level: 2.7 states/eV/f.u. The calculation puts the magnetic moment at 3.53 Bohr magnetons per cell.

***

3.
## Mn2SbHRu (PBE)

Data for a relaxed structure of Mn2SbHRu.

Cell: 3.935 3.935 3.970 Å, 90.00 90.00 90.00°
Space group P4/mmm (No. 123)
One atom of each set of equivalent atoms:
Mn1 0.000 0.500 0.000 [2 per cell]
Sb1 0.000 0.000 0.500 [1 per cell]
H1 0.500 0.500 0.000 [1 per cell]
Ru1 0.500 0.500 0.500 [1 per cell]

Calculated values
As for the density of states at the Fermi level: 4.2 states/eV/f.u. The calculation puts the magnetic moment at 5.69 Bohr magnetons per cell.

***

4.
## MnSiHRu2 (PBE)

Data for a relaxed structure of MnSiHRu2.

Cell: 3.981 3.981 3.480 Å, 90.00 90.00 90.00°
Space group P4/mmm (No. 123)
One atom of each set of equivalent atoms:
Mn1 0.000 0.000 0.000 [1 per cell]
Si1 0.500 0.500 0.000 [1 per cell]
H1 0.000 0.000 0.500 [1 per cell]
Ru1 0.000 0.500 0.500 [2 per cell]

Calculated values
As for the offset from the most stable computed form: 0 meV per atom. As for the density of states at the Fermi level: 2.1 states/eV/f.u. The calculation puts the magnetic moment at 3.51 Bohr magnetons per cell.

***

5.
## MnSnHRu2 (PBE)

Data for a relaxed structure of MnSnHRu2.

Cell: 4.128 4.128 3.702 Å, 90.00 90.00 90.00°
Space group P4/mmm (No. 123)
One atom of each set of equivalent atoms:
Mn1 0.000 0.000 0.000 [1 per cell]
Sn1 0.500 0.500 0.000 [1 per cell]
H1 0.000 0.000 0.500 [1 per cell]
Ru1 0.000 0.500 0.500 [2 per cell]

Calculated values
As for the density of states at the Fermi level: 2.4 states/eV/f.u. The calculation puts the magnetic moment at 3.63 Bohr magnetons per cell.

***

6.
## Mn2SnHRu (PBE)

Data for a relaxed structure of Mn2SnHRu.

Cell: 4.072 4.072 4.004 Å, 90.00 90.00 90.00°
Space group P4/mmm (No. 123)
One atom of each set of equivalent atoms:
Mn1 0.000 0.500 0.000 [2 per cell]
Sn1 0.000 0.000 0.500 [1 per cell]
H1 0.500 0.500 0.000 [1 per cell]
Ru1 0.500 0.500 0.500 [1 per cell]

Calculated values
As for the density of states at the Fermi level: 3.4 states/eV/f.u. The calculation puts the magnetic moment at 6.86 Bohr magnetons per cell.

***

Number 1: final energy -92.3 eV for the cell shown. Number 2: final energy -35.3 eV for the cell shown. Number 3: final energy -35.1 eV for the cell shown. Number 4: final energy -37.4 eV for the cell shown. Number 5: final energy -35.3 eV for the cell shown. Number 6: final energy -35.0 eV for the cell shown.